Entry 1:
# InAsIO4

A geometry-optimized InAsIO4 structure (PBE, Alexandria).

a = 6.688 Å, b = 6.688 Å, c = 6.457 Å
α = 78.77°, β = 78.77°, γ = 55.90°
Atoms (fractional coordinates):
In  0.304  0.304  0.836
In  0.696  0.696  0.164
As  0.635  0.635  0.729
As  0.365  0.365  0.271
I  0.038  0.038  0.290
I  0.962  0.962  0.710
O  0.281  0.281  0.522
O  0.719  0.719  0.478
O  0.116  0.531  0.117
O  0.508  0.508  0.263
O  0.469  0.884  0.883
O  0.531  0.116  0.117
O  0.492  0.492  0.737
O  0.884  0.469  0.883

Properties
Its space group is C2/m (12). The value obtained for the uncorrected energy is -5.0987 eV/atom. The value obtained for the total magnetic moment is 0.0 μB per formula unit. The value obtained for the density of states at the Fermi level is 0.11 states/eV per atom.

Entry 2:
# InAsI2O

A geometry-optimized InAsI2O structure (PBE, Alexandria).

a = 6.145 Å, b = 6.145 Å, c = 3.943 Å
α = 90.00°, β = 90.00°, γ = 90.00°
Atoms (fractional coordinates):
I  0.000  0.500  0.000
I  0.500  0.000  0.000
As  0.500  0.500  0.500
O  0.000  0.000  0.500
In  0.000  0.000  0.000

Properties
Its space group is P4/mmm (123). The value obtained for the uncorrected energy is -3.0165 eV/atom. The energy above the most stable polymorph in this dataset is 420.5 meV/atom. The value obtained for the total magnetic moment is 0.0 μB per formula unit. The value obtained for the density of states at the Fermi level is 0.88 states/eV per atom.